(1)
DFT (GGA-PBE) results for a relaxed structure of AgSb2Mo2.

Values from the calculation:
Raw formation energy in meV per atom: 258

Cell lengths 7.457, 7.457, 3.498 Å; angles 90.00, 90.00, 90.00 degrees
Space group P4/mbm (No. 127)
Inequivalent atoms, fractional coordinates:
Ag 0.000 0.000 0.000 [2 per cell]
Sb 0.159 0.341 0.500 [4 per cell]
Mo 0.135 0.635 0.000 [4 per cell]



(2)
DFT (GGA-PBE) results for a relaxed structure of Tb3PmRh3.

Values from the calculation:
Formation enthalpy at 0 K in eV per atom: -0.65

Cell lengths 9.219, 10.364, 6.984 Å; angles 90.00, 90.92, 90.00 degrees
Space group C2/m (No. 12)
Inequivalent atoms, fractional coordinates:
Tb 0.000 0.182 0.000 [4 per cell]
Tb 0.000 0.243 0.500 [4 per cell]
Tb 0.176 0.500 0.881 [4 per cell]
Pm 0.241 0.500 0.381 [4 per cell]
Rh 0.057 0.000 0.298 [4 per cell]
Rh 0.249 0.248 0.230 [8 per cell]



(3)
DFT (GGA-PBE) results for a relaxed structure of Pr4Ho3TmTe8.

Values from the calculation:
Raw formation energy in meV per atom: -1340

Cell lengths 8.7178, 8.7178, 22.4248 Å; angles 90.00, 90.00, 120.00 degrees
Space group R-3m (No. 166, hexagonal axes)
Inequivalent atoms, fractional coordinates:
Pr 0.0000 0.0000 0.0000 [3 per cell]
Pr 0.0000 0.5000 0.0000 [9 per cell]
Ho 0.0000 0.5000 0.5000 [9 per cell]
Tm 0.0000 0.0000 0.5000 [3 per cell]
Te 0.0000 0.0000 0.2444 [6 per cell]
Te 0.0016 0.5008 0.2440 [18 per cell]



(4)
DFT (GGA-PBE) results for a relaxed structure of Nd8Cd2Rh.

Values from the calculation:
Formation enthalpy at 0 K in eV per atom: -0.21

Cell lengths 18.215, 5.465, 7.067 Å; angles 90.00, 106.93, 90.00 degrees
Space group C2/m (No. 12)
Inequivalent atoms, fractional coordinates:
Nd 0.020 0.000 0.282 [4 per cell]
Nd 0.091 0.500 0.925 [4 per cell]
Nd 0.150 0.500 0.448 [4 per cell]
Nd 0.201 0.000 0.786 [4 per cell]
Cd 0.186 0.000 0.217 [4 per cell]
Rh 0.000 0.500 0.500 [2 per cell]